# 1
Compound: Cs4Na2Tl
Source: Alexandria
Functional: PBE
Structure: relaxed

```
Cs4Na2Tl
1.0
-3.669 3.669 10.935
3.669 -3.669 10.935
3.669 3.669 -10.935
Cs Na Tl
4 2 1
direct
0.000 0.500 0.500 Cs
0.182 0.182 0.000 Cs
0.500 0.000 0.500 Cs
0.818 0.818 0.000 Cs
0.381 0.381 0.000 Na
0.619 0.619 0.000 Na
0.000 0.000 0.000 Tl
```

Computed properties:
Space-group type ... I4/mmm
Crystal system ... tetragonal
Energy relative to the elements ... 107 meV/atom
DOS at the Fermi energy ... 7.7 states/eV per cell
VASP energy ... -1.10 eV per atom

***

# 2
Compound: Cs3Na2Tl9
Source: Alexandria
Functional: PBE
Structure: relaxed

```
Cs3Na2Tl9
1.0
-2.698 6.271 7.972
2.698 -6.271 7.972
2.698 6.271 -7.972
Cs Na Tl
3 2 9
direct
0.000 0.000 0.000 Cs
0.294 0.294 0.000 Cs
0.706 0.706 0.000 Cs
0.311 0.500 0.811 Na
0.689 0.500 0.189 Na
0.016 0.683 0.333 Tl
0.166 0.880 0.287 Tl
0.350 0.683 0.667 Tl
0.407 0.120 0.287 Tl
0.500 0.000 0.500 Tl
0.593 0.880 0.713 Tl
0.650 0.317 0.333 Tl
0.834 0.120 0.713 Tl
0.984 0.317 0.667 Tl
```

Computed properties:
Space-group type ... Immm
Crystal system ... orthorhombic
Energy relative to the elements ... -75 meV/atom
DOS at the Fermi energy ... 7.9 states/eV per cell
VASP energy ... -1.97 eV per atom

***

# 3
Compound: Cs5Na5Tl
Source: Alexandria
Functional: PBE
Structure: relaxed

```
Cs5Na5Tl
1.0
-3.545 4.695 10.932
3.545 -4.695 10.932
3.545 4.695 -10.932
Cs Na Tl
5 5 1
direct
0.000 0.000 0.000 Cs
0.151 0.651 0.500 Cs
0.297 0.297 0.000 Cs
0.703 0.703 0.000 Cs
0.849 0.349 0.500 Cs
0.185 0.871 0.314 Na
0.442 0.129 0.314 Na
0.500 0.500 0.000 Na
0.558 0.871 0.686 Na
0.815 0.129 0.686 Na
0.500 0.000 0.500 Tl
```

Computed properties:
Space-group type ... Immm
Crystal system ... orthorhombic
Energy relative to the elements ... 57 meV/atom
DOS at the Fermi energy ... 9.4 states/eV per cell
VASP energy ... -1.15 eV per atom

***

# 4
Compound: CsNa2Tl
Source: Alexandria
Functional: PBE
Structure: relaxed

```
CsNa2Tl
1.0
7.538 0.000 0.000
0.000 9.376 0.000
-5.611 0.000 10.345
Cs Na Tl
4 8 4
direct
0.077 0.091 0.202 Cs
0.077 0.409 0.702 Cs
0.923 0.591 0.298 Cs
0.923 0.909 0.798 Cs
0.260 0.618 0.099 Na
0.260 0.882 0.599 Na
0.464 0.215 0.596 Na
0.464 0.285 0.096 Na
0.536 0.715 0.904 Na
0.536 0.785 0.404 Na
0.740 0.118 0.401 Na
0.740 0.382 0.901 Na
0.492 0.073 0.879 Tl
0.492 0.427 0.379 Tl
0.508 0.573 0.621 Tl
0.508 0.927 0.121 Tl
```

Computed properties:
Space-group type ... P2_1/c
Crystal system ... monoclinic
Energy relative to the elements ... -43 meV/atom
DOS at the Fermi energy ... 7.1 states/eV per cell
VASP energy ... -1.51 eV per atom

***

# 5
Compound: CsNa5Tl
Source: Alexandria
Functional: PBE
Structure: relaxed

```
CsNa5Tl
1.0
4.931 0.000 0.000
0.000 4.931 0.000
0.000 0.000 12.730
Cs Na Tl
1 5 1
direct
0.000 0.000 0.000 Cs
0.000 0.000 0.500 Na
0.000 0.500 0.301 Na
0.000 0.500 0.699 Na
0.500 0.000 0.301 Na
0.500 0.000 0.699 Na
0.500 0.500 0.500 Tl
```

Computed properties:
Space-group type ... P4/mmm
Crystal system ... tetragonal
Energy relative to the elements ... -13 meV/atom
DOS at the Fermi energy ... 3.4 states/eV per cell
VASP energy ... -1.42 eV per atom

***

# 6
Compound: Cs2NaTl2
Source: Alexandria
Functional: PBE
Structure: relaxed

```
Cs2NaTl2
1.0
11.496 0.000 0.000
0.000 11.496 0.000
0.000 0.000 3.980
Cs Na Tl
4 2 4
direct
0.196 0.304 0.000 Cs
0.304 0.804 0.000 Cs
0.696 0.196 0.000 Cs
0.804 0.696 0.000 Cs
0.000 0.000 0.000 Na
0.500 0.500 0.000 Na
0.094 0.594 0.500 Tl
0.406 0.094 0.500 Tl
0.594 0.906 0.500 Tl
0.906 0.406 0.500 Tl
```

Computed properties:
Space-group type ... P4/mbm
Crystal system ... tetragonal
Energy relative to the elements ... 113 meV/atom
DOS at the Fermi energy ... 11.9 states/eV per cell
VASP energy ... -1.44 eV per atom

***

# 7
Compound: Cs2Na7Tl12
Source: Alexandria
Functional: PBE
Structure: relaxed

```
Cs2Na7Tl12
1.0
14.762 0.000 0.000
-7.381 12.784 0.000
0.000 0.000 3.593
Cs Na Tl
2 7 12
direct
0.333 0.667 0.227 Cs
0.667 0.333 0.773 Cs
0.000 0.000 0.500 Na
0.130 0.734 0.546 Na
0.266 0.395 0.546 Na
0.395 0.130 0.454 Na
0.605 0.870 0.546 Na
0.734 0.605 0.454 Na
0.870 0.266 0.454 Na
0.048 0.239 0.012 Tl
0.080 0.473 0.776 Tl
0.191 0.952 0.012 Tl
0.239 0.191 0.988 Tl
0.393 0.920 0.776 Tl
0.473 0.393 0.224 Tl
0.527 0.607 0.776 Tl
0.607 0.080 0.224 Tl
0.761 0.809 0.012 Tl
0.809 0.048 0.988 Tl
0.920 0.527 0.224 Tl
0.952 0.761 0.988 Tl
```

Computed properties:
Space-group type ... P-3
Crystal system ... trigonal
Energy relative to the elements ... -52 meV/atom
DOS at the Fermi energy ... 5.4 states/eV per cell
VASP energy ... -1.92 eV per atom

***

# 8
Compound: Cs2Na5Tl4
Source: Alexandria
Functional: PBE
Structure: relaxed

```
Cs2Na5Tl4
1.0
8.136 -3.604 0.000
8.136 3.604 0.000
-6.348 0.000 8.150
Cs Na Tl
2 5 4
direct
0.223 0.223 0.291 Cs
0.777 0.777 0.709 Cs
0.202 0.696 0.251 Na
0.304 0.798 0.749 Na
0.500 0.500 0.000 Na
0.696 0.202 0.251 Na
0.798 0.304 0.749 Na
0.120 0.120 0.565 Tl
0.274 0.274 0.941 Tl
0.726 0.726 0.059 Tl
0.880 0.880 0.435 Tl
```

Computed properties:
Space-group type ... C2/m
Crystal system ... monoclinic
Energy relative to the elements ... -43 meV/atom
DOS at the Fermi energy ... 6.0 states/eV per cell
VASP energy ... -1.66 eV per atom

***

# 9
Compound: CsNa12Tl5
Source: Alexandria
Functional: PBE
Structure: relaxed

```
CsNa12Tl5
1.0
-4.859 5.345 6.356
4.859 -5.345 6.356
4.859 5.345 -6.356
Cs Na Tl
1 12 5
direct
0.000 0.000 0.000 Cs
0.116 0.808 0.308 Na
0.232 0.325 0.557 Na
0.232 0.675 0.907 Na
0.272 0.073 0.801 Na
0.272 0.471 0.199 Na
0.500 0.192 0.308 Na
0.500 0.808 0.692 Na
0.728 0.529 0.801 Na
0.728 0.927 0.199 Na
0.768 0.325 0.093 Na
0.768 0.675 0.443 Na
0.884 0.192 0.692 Na
0.120 0.620 0.500 Tl
0.500 0.156 0.656 Tl
0.500 0.500 0.000 Tl
0.500 0.844 0.344 Tl
0.880 0.380 0.500 Tl
```

Computed properties:
Space-group type ... Immm
Crystal system ... orthorhombic
Energy relative to the elements ... -20 meV/atom
DOS at the Fermi energy ... 9.4 states/eV per cell
VASP energy ... -1.60 eV per atom

***

# 10
Compound: CsNa3Tl
Source: Alexandria
Functional: PBE
Structure: relaxed

```
CsNa3Tl
1.0
8.894 -6.108 0.000
8.894 6.108 0.000
-1.825 0.000 8.025
Cs Na Tl
4 12 4
direct
0.022 0.978 0.750 Cs
0.357 0.643 0.250 Cs
0.643 0.357 0.750 Cs
0.978 0.022 0.250 Cs
0.023 0.355 0.096 Na
0.035 0.362 0.598 Na
0.318 0.322 0.907 Na
0.322 0.318 0.407 Na
0.355 0.023 0.596 Na
0.362 0.035 0.098 Na
0.638 0.965 0.902 Na
0.645 0.977 0.404 Na
0.678 0.682 0.593 Na
0.682 0.678 0.093 Na
0.965 0.638 0.402 Na
0.977 0.645 0.904 Na
0.231 0.588 0.695 Tl
0.412 0.769 0.805 Tl
0.588 0.231 0.195 Tl
0.769 0.412 0.305 Tl
```

Computed properties:
Space-group type ... C2/c
Crystal system ... monoclinic
Energy relative to the elements ... -18 meV/atom
DOS at the Fermi energy ... 11.2 states/eV per cell
VASP energy ... -1.45 eV per atom

***

# 11
Compound: Cs5Na2Tl4
Source: Alexandria
Functional: PBE
Structure: relaxed

```
Cs5Na2Tl4
1.0
8.345 -4.412 0.000
8.345 4.412 0.000
-6.655 0.000 8.824
Cs Na Tl
5 2 4
direct
0.000 0.000 0.000 Cs
0.050 0.538 0.336 Cs
0.462 0.950 0.664 Cs
0.538 0.050 0.336 Cs
0.950 0.462 0.664 Cs
0.454 0.454 0.133 Na
0.546 0.546 0.867 Na
0.011 0.011 0.657 Tl
0.216 0.216 0.975 Tl
0.784 0.784 0.025 Tl
0.989 0.989 0.343 Tl
```

Computed properties:
Space-group type ... C2/m
Crystal system ... monoclinic
Energy relative to the elements ... 45 meV/atom
DOS at the Fermi energy ... 11.4 states/eV per cell
VASP energy ... -1.44 eV per atom

***

# 12
Compound: CsNa2Tl
Source: Alexandria
Functional: PBE
Structure: relaxed

```
CsNa2Tl
1.0
2.836 1.637 7.013
-2.836 1.637 7.013
0.000 -3.275 7.013
Cs Na Tl
1 2 1
direct
0.000 0.000 0.000 Cs
0.521 0.521 0.521 Na
0.807 0.807 0.807 Na
0.195 0.195 0.195 Tl
```

Computed properties:
Space-group type ... R3m
Crystal system ... trigonal
Energy relative to the elements ... -16 meV/atom
DOS at the Fermi energy ... 3.5 states/eV per cell
VASP energy ... -1.48 eV per atom

***

# 13
Compound: Cs6Na3Tl
Source: Alexandria
Functional: PBE
Structure: relaxed

```
Cs6Na3Tl
1.0
12.569 0.000 0.000
0.000 8.693 0.000
-12.331 0.000 13.291
Cs Na Tl
12 6 2
direct
0.109 0.105 0.444 Cs
0.109 0.395 0.944 Cs
0.247 0.578 0.427 Cs
0.247 0.922 0.927 Cs
0.382 0.741 0.733 Cs
0.382 0.759 0.233 Cs
0.618 0.241 0.767 Cs
0.618 0.259 0.267 Cs
0.753 0.078 0.073 Cs
0.753 0.422 0.573 Cs
0.891 0.605 0.056 Cs
0.891 0.895 0.556 Cs
0.212 0.186 0.223 Na
0.212 0.314 0.723 Na
0.500 0.000 0.500 Na
0.500 0.500 0.000 Na
0.788 0.686 0.277 Na
0.788 0.814 0.777 Na
0.000 0.000 0.000 Tl
0.000 0.500 0.500 Tl
```

Computed properties:
Space-group type ... P2_1/c
Crystal system ... monoclinic
Energy relative to the elements ... 18 meV/atom
DOS at the Fermi energy ... 15.2 states/eV per cell
VASP energy ... -1.13 eV per atom

***

# 14
Compound: Cs5Na4Tl
Source: Alexandria
Functional: PBE
Structure: relaxed

```
Cs5Na4Tl
1.0
13.880 -2.924 0.000
13.880 2.924 0.000
-0.616 0.000 8.584
Cs Na Tl
5 4 1
direct
0.000 0.000 0.000 Cs
0.275 0.275 0.740 Cs
0.385 0.385 0.220 Cs
0.615 0.615 0.780 Cs
0.725 0.725 0.260 Cs
0.115 0.115 0.395 Na
0.460 0.460 0.646 Na
0.540 0.540 0.354 Na
0.885 0.885 0.605 Na
0.000 0.000 0.500 Tl
```

Computed properties:
Space-group type ... C2/m
Crystal system ... monoclinic
Energy relative to the elements ... 4 meV/atom
DOS at the Fermi energy ... 6.2 states/eV per cell
VASP energy ... -1.19 eV per atom

***

# 15
Compound: Cs2Na21Tl6
Source: Alexandria
Functional: PBE
Structure: relaxed

```
Cs2Na21Tl6
1.0
0.000 8.211 8.211
8.211 0.000 8.211
8.211 8.211 0.000
Cs Na Tl
2 21 6
direct
0.250 0.250 0.250 Cs
0.750 0.750 0.750 Cs
0.000 0.000 0.000 Na
0.000 0.000 0.339 Na
0.000 0.000 0.661 Na
0.000 0.339 0.000 Na
0.000 0.339 0.661 Na
0.000 0.661 0.000 Na
0.000 0.661 0.339 Na
0.176 0.608 0.608 Na
0.339 0.000 0.000 Na
0.339 0.000 0.661 Na
0.339 0.661 0.000 Na
0.392 0.392 0.392 Na
0.392 0.392 0.824 Na
0.392 0.824 0.392 Na
0.608 0.176 0.608 Na
0.608 0.608 0.176 Na
0.608 0.608 0.608 Na
0.661 0.000 0.000 Na
0.661 0.000 0.339 Na
0.661 0.339 0.000 Na
0.824 0.392 0.392 Na
0.262 0.262 0.738 Tl
0.262 0.738 0.262 Tl
0.262 0.738 0.738 Tl
0.738 0.262 0.262 Tl
0.738 0.262 0.738 Tl
0.738 0.738 0.262 Tl
```

Computed properties:
Space-group type ... Fm-3m
Crystal system ... cubic
Energy relative to the elements ... -32 meV/atom
DOS at the Fermi energy ... 16.5 states/eV per cell
VASP energy ... -1.54 eV per atom

***

# 16
Compound: Cs2NaTl
Source: Alexandria
Functional: PBE
Structure: relaxed

```
Cs2NaTl
1.0
0.000 4.892 4.892
4.892 0.000 4.892
4.892 4.892 0.000
Cs Na Tl
2 1 1
direct
0.250 0.250 0.250 Cs
0.750 0.750 0.750 Cs
0.000 0.000 0.000 Na
0.500 0.500 0.500 Tl
```

Computed properties:
Space-group type ... Fm-3m
Crystal system ... cubic
Energy relative to the elements ... 83 meV/atom
DOS at the Fermi energy ... 5.3 states/eV per cell
VASP energy ... -1.27 eV per atom

***

# 17
Compound: Cs4NaTl2
Source: Alexandria
Functional: PBE
Structure: relaxed

```
Cs4NaTl2
1.0
-3.933 3.933 9.407
3.933 -3.933 9.407
3.933 3.933 -9.407
Cs Na Tl
4 1 2
direct
0.000 0.500 0.500 Cs
0.217 0.217 0.000 Cs
0.500 0.000 0.500 Cs
0.783 0.783 0.000 Cs
0.000 0.000 0.000 Na
0.422 0.422 0.000 Tl
0.578 0.578 0.000 Tl
```

Computed properties:
Space-group type ... I4/mmm
Crystal system ... tetragonal
Energy relative to the elements ... 120 meV/atom
DOS at the Fermi energy ... 9.3 states/eV per cell
VASP energy ... -1.23 eV per atom

***

# 18
Compound: CsNa6Tl3
Source: Alexandria
Functional: PBE
Structure: relaxed

```
CsNa6Tl3
1.0
4.924 -8.332 0.000
4.924 8.332 0.000
0.000 0.000 8.798
Cs Na Tl
2 12 6
direct
0.180 0.820 0.500 Cs
0.820 0.180 0.000 Cs
0.028 0.972 0.183 Na
0.162 0.481 0.729 Na
0.270 0.730 0.076 Na
0.294 0.360 0.084 Na
0.360 0.294 0.584 Na
0.481 0.162 0.229 Na
0.519 0.838 0.729 Na
0.640 0.706 0.084 Na
0.706 0.640 0.584 Na
0.730 0.270 0.576 Na
0.838 0.519 0.229 Na
0.972 0.028 0.683 Na
0.047 0.297 0.390 Tl
0.297 0.047 0.890 Tl
0.398 0.602 0.385 Tl
0.602 0.398 0.885 Tl
0.703 0.953 0.390 Tl
0.953 0.703 0.890 Tl
```

Computed properties:
Space-group type ... Cmc2_1
Crystal system ... orthorhombic
Energy relative to the elements ... -27 meV/atom
DOS at the Fermi energy ... 8.3 states/eV per cell
VASP energy ... -1.61 eV per atom

***

# 19
Compound: CsNaTl
Source: Alexandria
Functional: PBE
Structure: relaxed

```
CsNaTl
1.0
6.957 0.000 0.000
0.000 5.638 0.000
-2.551 0.000 7.279
Cs Na Tl
2 2 2
direct
0.000 0.000 0.000 Cs
0.479 0.500 0.919 Cs
0.591 0.000 0.435 Na
0.887 0.500 0.484 Na
0.161 0.000 0.533 Tl
0.317 0.500 0.385 Tl
```

Computed properties:
Space-group type ... Pm
Crystal system ... monoclinic
Energy relative to the elements ... -49 meV/atom
DOS at the Fermi energy ... 4.0 states/eV per cell
VASP energy ... -1.56 eV per atom

***

# 20
Compound: Cs4NaTl
Source: Alexandria
Functional: PBE
Structure: relaxed

```
Cs4NaTl
1.0
11.314 -5.311 0.000
11.314 5.311 0.000
-2.845 0.000 7.555
Cs Na Tl
8 2 2
direct
0.111 0.623 0.369 Cs
0.212 0.788 0.000 Cs
0.334 0.334 0.835 Cs
0.377 0.889 0.631 Cs
0.623 0.111 0.369 Cs
0.666 0.666 0.165 Cs
0.788 0.212 0.000 Cs
0.889 0.377 0.631 Cs
0.190 0.190 0.190 Na
0.810 0.810 0.810 Na
0.499 0.499 0.314 Tl
0.501 0.501 0.686 Tl
```

Computed properties:
Space-group type ... C2/m
Crystal system ... monoclinic
Energy relative to the elements ... -13 meV/atom
DOS at the Fermi energy ... 9.2 states/eV per cell
VASP energy ... -1.20 eV per atom